1.
{"formula": "CsCaScI6", "functional": "PBE-GGA", "state": "optimized geometry", "formation_energy_uncorrected_mev_per_atom": -1438, "final_energy_ev_per_cell": -31.431, "lattice_angstrom": [[7.864, 0.000, 0.000], [-3.932, 6.810, 0.000], [0.000, 0.000, 8.667]], "species": ["Cs", "Ca", "Sc", "I", "I", "I", "I", "I", "I"], "fractional_positions": [[0.000, 0.000, 0.000], [0.333, 0.667, 0.500], [0.667, 0.333, 0.500], [0.381, 0.022, 0.699], [0.381, 0.360, 0.301], [0.640, 0.022, 0.301], [0.640, 0.619, 0.699], [0.978, 0.360, 0.699], [0.978, 0.619, 0.301]]}

***

2.
{"formula": "Ce2MgAl4Pd3", "functional": "PBE-GGA", "state": "optimized geometry", "delta_e_f_mev_per_atom": -650, "final_energy_ev_per_cell": -50.513, "lattice_angstrom": [[4.221, 0.000, 0.000], [0.000, 4.221, 0.000], [0.000, 0.000, 11.186]], "species": ["Ce", "Ce", "Mg", "Al", "Al", "Al", "Al", "Pd", "Pd", "Pd"], "fractional_positions": [[0.000, 0.500, 0.235], [0.500, 0.000, 0.765], [0.000, 0.000, 0.500], [0.000, 0.000, 0.000], [0.000, 0.500, 0.648], [0.500, 0.000, 0.352], [0.500, 0.500, 0.000], [0.000, 0.500, 0.871], [0.500, 0.000, 0.129], [0.500, 0.500, 0.500]]}

***

3.
{"formula": "Fe2Si4Tc", "functional": "PBE-GGA", "state": "optimized geometry", "formation_energy_uncorrected_mev_per_atom": 490, "final_energy_ev_per_cell": -45.556, "lattice_angstrom": [[-2.258, 2.258, 5.783], [2.258, -2.258, 5.783], [2.258, 2.258, -5.783]], "species": ["Fe", "Fe", "Si", "Si", "Si", "Si", "Tc"], "fractional_positions": [[0.100, 0.100, 0.000], [0.900, 0.900, 0.000], [0.000, 0.500, 0.500], [0.292, 0.292, 0.000], [0.500, 0.000, 0.500], [0.708, 0.708, 0.000], [0.500, 0.500, 0.000]]}

***

4.
{"formula": "KMoP", "functional": "PBE-GGA", "state": "optimized geometry", "de_polymorph_ev_per_atom": 2.1826, "delta_e_f_mev_per_atom": 1822, "final_energy_ev_per_cell": -11.873, "lattice_angstrom": [[0.000, 3.443, 3.443], [3.443, 0.000, 3.443], [3.443, 3.443, 0.000]], "species": ["K", "Mo", "P"], "fractional_positions": [[0.000, 0.000, 0.000], [0.750, 0.750, 0.750], [0.250, 0.250, 0.250]]}

***

5.
{"formula": "PrSF", "functional": "PBE-GGA", "state": "optimized geometry", "formation_energy_uncorrected_mev_per_atom": -2753, "final_energy_ev_per_cell": -38.075, "lattice_angstrom": [[-2.333, 2.333, 8.433], [2.333, -2.333, 8.433], [2.333, 2.333, -8.433]], "species": ["Pr", "Pr", "S", "S", "F", "F"], "fractional_positions": [[0.000, 0.000, 0.000], [0.750, 0.250, 0.500], [0.165, 0.165, 0.000], [0.915, 0.415, 0.500], [0.512, 0.012, 0.500], [0.762, 0.762, 0.000]]}

***

6.
{"formula": "Tl2H2N", "functional": "PBE-GGA", "state": "optimized geometry", "de_polymorph_ev_per_atom": 0.0000, "final_energy_ev_per_cell": -16.312, "lattice_angstrom": [[-2.384, 2.384, 3.295], [2.384, -2.384, 3.295], [2.384, 2.384, -3.295]], "species": ["Tl", "Tl", "H", "H", "N"], "fractional_positions": [[0.250, 0.750, 0.500], [0.750, 0.250, 0.500], [0.058, 0.058, 0.000], [0.942, 0.942, 0.000], [0.500, 0.500, 0.000]]}

***

7.
{"formula": "Ho3Tl3GeS8", "functional": "PBE-GGA", "state": "optimized geometry", "formation_energy_uncorrected_mev_per_atom": -1179, "final_energy_ev_per_cell": -76.156, "lattice_angstrom": [[3.915, 2.260, 7.626], [-3.915, 2.260, 7.626], [0.000, -4.520, 7.626]], "species": ["Ho", "Ho", "Ho", "Tl", "Tl", "Tl", "Ge", "S", "S", "S", "S", "S", "S", "S", "S"], "fractional_positions": [[0.000, 0.500, 0.500], [0.500, 0.000, 0.500], [0.500, 0.500, 0.000], [0.000, 0.000, 0.500], [0.000, 0.500, 0.000], [0.500, 0.000, 0.000], [0.000, 0.000, 0.000], [0.214, 0.214, 0.757], [0.214, 0.757, 0.214], [0.243, 0.786, 0.786], [0.268, 0.268, 0.268], [0.732, 0.732, 0.732], [0.757, 0.214, 0.214], [0.786, 0.243, 0.786], [0.786, 0.786, 0.243]]}

***

8.
{"formula": "As2Cl", "functional": "PBE-GGA", "state": "optimized geometry", "formation_energy_uncorrected_mev_per_atom": 333, "de_polymorph_ev_per_atom": 0.6045, "final_energy_ev_per_cell": -20.291, "lattice_angstrom": [[-3.970, 3.970, 2.558], [3.970, -3.970, 2.558], [3.970, 3.970, -2.558]], "species": ["As", "As", "As", "As", "Cl", "Cl"], "fractional_positions": [[0.102, 0.602, 0.704], [0.398, 0.102, 0.500], [0.602, 0.898, 0.500], [0.898, 0.398, 0.296], [0.250, 0.250, 0.000], [0.750, 0.750, 0.000]]}

***

9.
{"formula": "BaTlHg5Bi2", "functional": "PBE-GGA", "state": "optimized geometry", "delta_e_f_mev_per_atom": -137, "final_energy_ev_per_cell": -14.794, "lattice_angstrom": [[4.972, 0.000, 0.000], [0.000, 4.972, 0.000], [0.000, 0.000, 12.135]], "species": ["Ba", "Tl", "Hg", "Hg", "Hg", "Hg", "Hg", "Bi", "Bi"], "fractional_positions": [[0.000, 0.000, 0.000], [0.000, 0.000, 0.500], [0.000, 0.500, 0.210], [0.000, 0.500, 0.790], [0.500, 0.000, 0.210], [0.500, 0.000, 0.790], [0.500, 0.500, 0.000], [0.500, 0.500, 0.378], [0.500, 0.500, 0.622]]}

***

10.
{"formula": "NiC", "functional": "PBE-GGA", "state": "optimized geometry", "delta_e_f_mev_per_atom": 1042, "final_energy_ev_per_cell": -25.844, "lattice_angstrom": [[3.310, 0.000, 0.000], [-1.655, 2.867, 0.000], [0.000, 0.000, 3.418]], "species": ["Ni", "Ni", "C", "C"], "fractional_positions": [[0.333, 0.667, 0.250], [0.667, 0.333, 0.750], [0.000, 0.000, 0.000], [0.000, 0.000, 0.500]]}

***

11.
{"formula": "Ac2Zn3Rh", "functional": "PBE-GGA", "state": "optimized geometry", "delta_e_f_mev_per_atom": -447, "final_energy_ev_per_cell": -22.070, "lattice_angstrom": [[4.161, 0.000, 0.000], [0.000, 4.498, 0.000], [0.000, 0.000, 7.941]], "species": ["Ac", "Ac", "Zn", "Zn", "Zn", "Rh"], "fractional_positions": [[0.000, 0.000, 0.000], [0.000, 0.500, 0.456], [0.500, 0.000, 0.641], [0.500, 0.500, 0.142], [0.500, 0.500, 0.808], [0.500, 0.000, 0.309]]}

***

12.
{"formula": "NiPtRh2", "functional": "PBE-GGA", "state": "optimized geometry", "delta_e_f_mev_per_atom": 15, "final_energy_ev_per_cell": -26.467, "lattice_angstrom": [[2.680, -3.845, 0.000], [2.680, 3.845, 0.000], [0.000, 0.000, 2.720]], "species": ["Ni", "Pt", "Rh", "Rh"], "fractional_positions": [[0.000, 0.000, 0.000], [0.500, 0.500, 0.000], [0.000, 0.500, 0.500], [0.500, 0.000, 0.500]]}